Compound: Co2SbRh
Source: Alexandria
Functional: GGA-PBE
Structure: optimized geometry

The structure in POSCAR format:
```
Co2SbRh
1.0
4.6257 -0.0031 0.0008
3.6792 2.8038 0.0008
1.0254 0.3458 4.4284
Co Rh Sb
2 1 1
Cartesian
9.3128 3.1406 4.3559
4.6827 1.5792 2.2890
6.9978 2.3599 3.3224
2.3326 0.7866 1.1075
```

## Properties
Calculated volume ... 14.4 A^3/atom
Density of states at the Fermi level ... 5.75 states/eV per cell
ρ ... 9.9 g cm⁻³
Calculated total energy ... -6.28 eV per atom

=====

Compound: Nd2ScAu
Source: Alexandria
Functional: GGA-PBE
Structure: optimized geometry

The structure in POSCAR format:
```
Nd2ScAu
1.0
-3.7617 -0.0107 0.4366
0.4279 -0.8483 3.6659
0.1786 7.5342 1.7226
Sc Nd Au
1 2 1
Cartesian
-1.5777 3.3376 2.9125
0.1376 5.8043 1.3270
0.0410 1.7299 0.3955
-1.6669 -0.4295 2.0512
```

## Properties
Calculated volume ... 27.7 A^3/atom
Density of states at the Fermi level ... 6.05 states/eV per cell
Formation energy ... -325 meV per atom
Distance to the lowest polymorph of the same formula ... 0.000 eV/f.u.
ρ ... 7.9 g cm⁻³
Calculated total energy ... -5.11 eV per atom

=====

Compound: Mg2In2Pb
Source: Alexandria
Functional: GGA-PBE
Structure: optimized geometry

The structure in POSCAR format:
```
Mg2In2Pb
1.0
-0.5802 -0.4505 4.4896
4.4895 -0.5111 0.5289
2.6084 6.0248 3.2465
Pb Mg In
1 2 2
Cartesian
0.0000 0.0000 0.0000
1.9914 2.5468 5.1227
4.5263 2.5164 3.1423
2.0937 0.9027 2.6660
4.4240 4.1605 5.5990
```

## Properties
Calculated volume ... 27.2 A^3/atom
Density of states at the Fermi level ... 2.47 states/eV per cell
Formation energy ... 46 meV per atom
Distance to the lowest polymorph of the same formula ... 0.460 eV/f.u.
ρ ... 5.9 g cm⁻³
Calculated total energy ... -2.43 eV per atom

=====

Compound: Pm2Pr6NdSm
Source: Alexandria
Functional: GGA-PBE
Structure: optimized geometry

The structure in POSCAR format:
```
Pm2Pr6NdSm
1.0
9.5501 -2.1876 -2.2703
0.7202 8.7643 -2.0514
0.7202 -2.3748 8.6822
Pm Pr Nd Sm
4 12 2 2
Cartesian
5.4567 4.4013 3.4849
0.7589 1.9763 0.9683
5.5339 -0.1994 0.8756
10.2317 2.2256 3.3923
1.1477 -0.8925 6.1415
5.0678 -0.8747 6.1600
9.8429 5.0944 -1.7810
5.9228 5.0766 -1.7994
4.0085 6.9040 0.9851
2.2071 4.5671 -1.4401
6.9821 -2.7022 3.3754
8.7835 -0.3652 5.8007
2.0184 4.7116 2.6075
4.1971 2.8646 0.6907
8.9721 -0.5098 1.7531
6.7935 1.3372 3.6699
3.1078 1.5927 3.7645
7.8828 2.6091 0.5960
3.1078 7.9914 -2.4012
7.8828 -3.7895 6.7618
```

## Properties
Calculated volume ... 35.8 A^3/atom
Density of states at the Fermi level ... 31.27 states/eV per cell
Formation energy ... 110 meV per atom
ρ ... 6.6 g cm⁻³
Calculated total energy ... -4.66 eV per atom

=====

Compound: Sm9Dy3Th2
Source: Alexandria
Functional: GGA-PBE
Structure: optimized geometry

The structure in POSCAR format:
```
Sm9Dy3Th2
1.0
5.1273 1.0115 2.2667
5.0842 10.5919 5.2347
3.6285 2.7377 12.0324
Sm Dy Th
9 3 2
Cartesian
8.8904 8.5739 11.8104
4.7300 4.3756 8.8146
9.2947 11.3284 9.6995
5.2240 7.0409 6.5078
8.3268 6.1066 14.2189
10.9520 11.5879 12.9817
2.8700 2.8237 6.5553
10.4569 8.9163 15.2939
3.3517 5.4231 4.3056
9.3289 12.3820 16.3042
6.3611 3.5715 5.4889
7.5090 10.7270 14.0022
6.4855 4.4795 11.9600
7.4561 9.7163 7.4277
```

## Properties
Calculated volume ... 34.4 A^3/atom
Density of states at the Fermi level ... 22.37 states/eV per cell
Formation energy ... 195 meV per atom
ρ ... 7.9 g cm⁻³
Calculated total energy ... -4.89 eV per atom

=====

Compound: Mn2IrOs
Source: Alexandria
Functional: GGA-PBE
Structure: optimized geometry

The structure in POSCAR format:
```
Mn2IrOs
1.0
5.0255 0.0027 0.0050
2.3612 4.4363 -0.0050
-3.2492 -2.9587 2.4383
Ir Mn Os
1 2 1
Cartesian
1.3428 1.8126 1.2167
7.3392 4.4104 0.0000
2.7565 -0.3553 1.2216
3.7792 2.2711 0.0000
```

## Properties
Calculated volume ... 13.6 A^3/atom
Density of states at the Fermi level ... 3.27 states/eV per cell
Formation energy ... 82 meV per atom
Distance to the lowest polymorph of the same formula ... 0.784 eV/f.u.
ρ ... 15.1 g cm⁻³
Calculated total energy ... -9.53 eV per atom

=====

Compound: Na5TlO4
Source: Alexandria
Functional: GGA-PBE
Structure: optimized geometry

The structure in POSCAR format:
```
Na5TlO4
1.0
10.8592 0.0000 0.0000
0.0000 10.8990 0.0000
0.0000 0.0000 10.9414
Na Tl O
40 8 32
Cartesian
1.1366 1.2907 3.7218
6.5662 9.6083 1.7488
4.2930 6.7402 7.2195
9.7226 4.1588 9.1925
9.7226 9.6083 7.2195
4.2930 1.2907 9.1925
6.5662 4.1588 3.7218
1.1366 6.7402 1.7488
1.3726 9.2588 4.1755
6.8022 1.6402 1.2952
4.0570 3.8093 6.7659
9.4865 7.0897 9.6462
9.4865 1.6402 6.7659
4.0570 9.2588 9.6462
6.8022 7.0897 4.1755
1.3726 3.8093 1.2952
7.1880 1.1758 4.1934
1.7585 9.7232 1.2773
9.1007 6.6253 6.7480
3.6711 4.2737 9.6641
3.6711 9.7232 6.7480
9.1007 1.1758 9.6641
1.7585 4.2737 4.1934
7.1880 6.6253 1.2773
9.7567 6.7913 3.8237
4.3271 4.1076 1.6470
6.5321 1.3419 7.1177
1.1025 9.5571 9.2944
1.1025 4.1076 7.1177
6.5321 6.7913 9.2944
4.3271 9.5571 3.8237
9.7567 1.3419 1.6470
9.2744 9.6924 4.2828
3.8448 1.2066 1.1879
7.0144 4.2429 6.6586
1.5848 6.6561 9.7534
1.5848 1.2066 6.6586
7.0144 9.6924 9.7534
3.8448 6.6561 4.2828
9.2744 4.2429 1.1879
9.5904 3.8136 4.2126
4.1608 7.0853 1.2581
6.6984 9.2631 6.7288
1.2688 1.6359 9.6833
1.2688 7.0853 6.7288
6.6984 3.8136 9.6833
4.1608 1.6359 4.2126
9.5904 9.2631 1.2581
5.6287 2.7174 5.4009
0.1991 8.1816 0.0698
10.6601 8.1669 5.5405
5.2305 2.7321 10.8715
5.2305 8.1816 5.5405
10.6601 2.7174 10.8715
0.1991 2.7321 5.4009
5.6287 8.1669 0.0698
8.2650 2.7497 2.7886
2.8354 8.1493 2.6821
8.0238 8.1992 8.1527
2.5942 2.6998 8.2593
2.5942 8.1493 8.1527
8.0238 2.7497 8.2593
2.8354 2.6998 2.7886
8.2650 8.1992 2.6821
10.8544 5.0136 2.7888
5.4248 5.8854 2.6819
5.4344 10.4631 8.1526
0.0048 0.4359 8.2595
0.0048 5.8854 8.1526
5.4344 5.0136 8.2595
5.4248 0.4359 2.7888
10.8544 10.4631 2.6819
8.2096 5.3505 5.0217
2.7800 5.5485 0.4490
8.0792 10.8000 5.9197
2.6496 0.0990 10.4924
2.6496 5.5485 5.9197
8.0792 5.3505 10.4924
2.7800 0.0990 5.0217
8.2096 10.8000 0.4490
```

## Properties
Calculated volume ... 16.2 A^3/atom
Distance to the lowest polymorph of the same formula ... 0.000 eV/f.u.
ρ ... 3.9 g cm⁻³
Calculated total energy ... -4.09 eV per atom

=====

Compound: Zr4RhN
Source: Alexandria
Functional: GGA-PBE
Structure: optimized geometry

The structure in POSCAR format:
```
Zr4RhN
1.0
-1.3398 -5.8508 2.1331
3.6615 -0.7595 -4.3574
3.7978 3.6658 5.2160
Zr Rh N
8 2 2
Cartesian
0.1095 -5.3742 1.2375
2.4212 -4.0975 -1.6679
3.9839 0.1018 1.2104
2.1356 -3.0462 1.7813
4.8652 -0.3471 -1.7541
3.6983 1.1531 4.6596
1.2542 -2.5974 4.7458
6.0100 2.4298 1.7541
2.7924 -1.7482 -0.5724
3.3271 -1.1963 3.5640
5.2402 1.3066 -0.1675
0.8792 -4.2510 3.1592
```

## Properties
Calculated volume ... 18.9 A^3/atom
Density of states at the Fermi level ... 10.79 states/eV per cell
ρ ... 7.0 g cm⁻³
Calculated total energy ... -9.03 eV per atom